40
Lattice="4.761 0.000 0.000 0.000 9.591 0.000 -2.068 0.000 9.203" Properties=species:S:1:pos:R:3 comment="Li5MnO3F | Alexandria | GGA+U | optimized geometry" e_tot_ev_per_fu=-53.14 spacegroup="No. 11" vol_a3_per_atom=10.5 pbc="T T T"
Li -0.767 0.347 3.496
Li -1.798 0.356 8.092
Li -1.798 4.440 8.092
Li -0.767 4.449 3.496
Li -1.732 7.193 8.213
Li 1.022 0.373 5.686
Li 1.022 4.422 5.686
Li 1.063 7.193 5.603
Li 0.519 5.088 8.075
Li 0.519 9.298 8.075
Li 2.174 0.293 1.127
Li 2.174 4.503 1.127
Li 1.630 2.398 3.600
Li 1.671 5.169 3.517
Li 1.671 9.218 3.517
Li 4.425 2.398 0.990
Li 3.460 5.142 5.707
Li 4.490 5.151 1.111
Li 4.490 9.235 1.111
Li 3.460 9.244 5.707
Mn -0.663 7.193 3.436
Mn 1.910 7.193 1.264
Mn 0.783 2.398 7.939
Mn 3.356 2.398 5.767
O -0.442 1.011 6.812
O -0.442 3.784 6.812
O 0.150 5.813 4.553
O 0.150 8.574 4.553
O -0.888 5.733 9.191
O -0.888 8.653 9.191
O 3.581 0.938 0.011
O 3.581 3.858 0.011
O 2.543 1.017 4.650
O 2.543 3.778 4.650
O 3.135 5.807 2.390
O 3.135 8.580 2.390
F 0.724 1.013 2.326
F 0.724 3.783 2.326
F 1.969 5.808 6.877
F 1.969 8.578 6.877